## A
# BeNbF3

BeNbF3 after structural relaxation (GGA-PBE, Alexandria).

The space group is Pm-3m (No. 221) and the conventional cell measures 3.815, 3.815 and 3.815 Å, with angles of 90.00, 90.00 and 90.00 degrees. The distinct sites, in fractional coordinates, are Be at (0.000, 0.000, 0.000), Nb at (0.500, 0.500, 0.500) and F at (0.000, 0.000, 0.500).

## B
# BeNbF3

BeNbF3 after structural relaxation (GGA-PBE, Alexandria).

The space group is Pm-3m (No. 221) and the conventional cell measures 4.266, 4.266 and 4.266 Å, with angles of 90.00, 90.00 and 90.00 degrees. The distinct sites, in fractional coordinates, are Be at (0.000, 0.000, 0.000), Nb at (0.500, 0.500, 0.500) and F at (0.000, 0.500, 0.500).

Which one sits at the bottom of the stability order? B does.